A plane-wave DFT calculation with PBE was carried out for an optimized crystal structure of Co2NiP.

Output
- space group = R-3m
- density of states at the Fermi level (states/eV/f.u.) = 4.16
- VASP energy (eV per atom) = -6.403

a b c (Å): 7.5498 7.5498 7.5498
angles (deg): 19.87 19.87 19.87
Last column: nearest neighbours and their distance in Å.
Fractional positions:
Co 0.2412 0.2412 0.2412  3 P 2.24
Co 0.7588 0.7588 0.7588  3 P 2.24
Ni 0.0000 0.0000 0.0000  6 Co 2.54, 6 Ni 2.60
P 0.5000 0.5000 0.5000  6 Co 2.24